No. 1
{
  "formula": "Li2InRh",
  "functional": "PBE-GGA",
  "state": "relaxed",
  "spacegroup": "P4/mmm",
  "cell": [[3.323, 0.000, 0.000], [0.000, 3.323, 0.000], [0.000, 0.000, 5.611]],
  "species": ["Li", "Li", "In", "Rh"],
  "frac_coords": [[0.000, 0.000, 0.211], [0.000, 0.000, 0.789], [0.500, 0.500, 0.500], [0.500, 0.500, 0.000]]
}

***

No. 2
{
  "formula": "FeCuTc",
  "functional": "PBE-GGA",
  "state": "relaxed",
  "de_polymorph_ev_per_atom": 0.353,
  "spacegroup": "F-43m",
  "cell": [[0.000, 2.778, 2.778], [2.778, 0.000, 2.778], [2.778, 2.778, 0.000]],
  "species": ["Fe", "Cu", "Tc"],
  "frac_coords": [[0.000, 0.000, 0.000], [0.750, 0.750, 0.750], [0.250, 0.250, 0.250]]
}

***

No. 3
{
  "formula": "AcGd2Ga",
  "functional": "PBE-GGA",
  "state": "relaxed",
  "de_polymorph_ev_per_atom": 0.000,
  "spacegroup": "P4/mmm",
  "cell": [[3.693, 0.000, 0.000], [0.000, 3.693, 0.000], [0.000, 0.000, 9.035]],
  "species": ["Ac", "Gd", "Gd", "Ga"],
  "frac_coords": [[0.000, 0.000, 0.000], [0.500, 0.500, 0.307], [0.500, 0.500, 0.693], [0.000, 0.000, 0.500]]
}

***

No. 4
{
  "formula": "TaZn2Mo",
  "functional": "PBE-GGA",
  "state": "relaxed",
  "de_polymorph_ev_per_atom": 0.275,
  "spacegroup": "Fm-3m",
  "cell": [[0.000, 3.136, 3.136], [3.136, 0.000, 3.136], [3.136, 3.136, 0.000]],
  "species": ["Ta", "Zn", "Zn", "Mo"],
  "frac_coords": [[0.000, 0.000, 0.000], [0.250, 0.250, 0.250], [0.750, 0.750, 0.750], [0.500, 0.500, 0.500]]
}

***

No. 5
{
  "formula": "SmDy2Tm",
  "functional": "PBE-GGA",
  "state": "relaxed",
  "de_polymorph_ev_per_atom": 0.000,
  "spacegroup": "Imm2",
  "cell": [[-1.814, 5.657, 3.126], [1.814, -5.657, 3.126], [1.814, 5.657, -3.126]],
  "species": ["Sm", "Dy", "Dy", "Tm"],
  "frac_coords": [[0.000, 0.000, 0.000], [0.417, 0.664, 0.752], [0.912, 0.664, 0.248], [0.497, 0.997, 0.500]]
}

***

No. 6
{
  "formula": "RbSr3",
  "functional": "PBE-GGA",
  "state": "relaxed",
  "de_polymorph_ev_per_atom": 0.063,
  "spacegroup": "Fm-3m",
  "cell": [[0.000, 4.944, 4.944], [4.944, 0.000, 4.944], [4.944, 4.944, 0.000]],
  "species": ["Rb", "Sr", "Sr", "Sr"],
  "frac_coords": [[0.000, 0.000, 0.000], [0.250, 0.250, 0.250], [0.500, 0.500, 0.500], [0.750, 0.750, 0.750]]
}

***

Summary of density of states at the Fermi level in states/eV per atom
0.450 0.487 1.110 0.670 1.703 0.730
(order as listed above)
Summary of energy in eV per atom
-3.678 -7.090 -9.087 -6.021 -4.588 -1.372
(order as listed above)
Summary of energy of formation in eV/f.u.
-0.79 1.66 -1.05 1.15 0.04 0.53
(order as listed above)